Entry 1:
DFT (PBE) results for a geometry-optimized DyB4Mo structure.

Cell and atoms, written as POSCAR:
```
DyB4Mo
1.0
6.0238 0.0000 0.0000
0.0000 11.6422 0.0000
0.0000 0.0000 3.6194
Dy B Mo
4 16 4
direct
0.1272 0.1499 0.0000
0.3728 0.6499 0.0000
0.6272 0.3501 0.0000
0.8728 0.8501 0.0000
0.0231 0.6936 0.5000
0.1140 0.5475 0.5000
0.1330 0.9680 0.5000
0.2129 0.8135 0.5000
0.2871 0.3135 0.5000
0.3670 0.4680 0.5000
0.3860 0.0475 0.5000
0.4769 0.1936 0.5000
0.5231 0.8064 0.5000
0.6140 0.9525 0.5000
0.6330 0.5320 0.5000
0.7129 0.6865 0.5000
0.7871 0.1865 0.5000
0.8670 0.0320 0.5000
0.8860 0.4525 0.5000
0.9769 0.3064 0.5000
0.1302 0.4163 0.0000
0.3698 0.9163 0.0000
0.6302 0.0837 0.0000
0.8698 0.5837 0.0000
```

Summary:
Mass density: 7894 kg/m3
Polymorph energy (0 for the lowest one): 0.000 eV/atom
V: 254 Å³ per cell
Symmetry: Pbam (55)
Final energy: -183.73 eV/cell

Entry 2:
DFT (PBE) results for a geometry-optimized ZrNiBMo structure.

Cell and atoms, written as POSCAR:
```
ZrNiBMo
1.0
6.0313 0.0000 0.0000
0.0000 6.0313 0.0000
0.0000 0.0000 6.0313
Zr Ni B Mo
4 4 4 4
direct
0.0000 0.0000 0.0000
0.0000 0.5000 0.5000
0.5000 0.0000 0.5000
0.5000 0.5000 0.0000
0.2500 0.2500 0.7500
0.2500 0.7500 0.2500
0.7500 0.2500 0.2500
0.7500 0.7500 0.7500
0.2500 0.2500 0.2500
0.2500 0.7500 0.7500
0.7500 0.2500 0.7500
0.7500 0.7500 0.2500
0.0000 0.0000 0.5000
0.0000 0.5000 0.0000
0.5000 0.0000 0.0000
0.5000 0.5000 0.5000
```

Summary:
Mass density: 7771 kg/m3
Polymorph energy (0 for the lowest one): 0.000 eV/atom
V: 219 Å³ per cell
Symmetry: F-43m (216)
Final energy: -124.31 eV/cell

Entry 3:
DFT (PBE) results for a geometry-optimized MgTlPd6 structure.

Cell and atoms, written as POSCAR:
```
MgTlPd6
1.0
4.0801 0.0000 0.0000
0.0000 4.0801 0.0000
0.0000 0.0000 15.5429
Mg Tl Pd
2 2 12
direct
0.0000 0.0000 0.0000
0.5000 0.5000 0.5000
0.0000 0.0000 0.2489
0.5000 0.5000 0.7489
0.0000 0.0000 0.4993
0.0000 0.0000 0.7501
0.0000 0.5000 0.1202
0.0000 0.5000 0.3791
0.0000 0.5000 0.6202
0.0000 0.5000 0.8791
0.5000 0.0000 0.1202
0.5000 0.0000 0.3791
0.5000 0.0000 0.6202
0.5000 0.0000 0.8791
0.5000 0.5000 0.2501
0.5000 0.5000 0.9993
```

Summary:
Mass density: 11131 kg/m3
V: 259 Å³ per cell
Symmetry: I4mm (107)
Final energy: -75.55 eV/cell

Entry 4:
DFT (PBE) results for a geometry-optimized LuBe2Co structure.

Cell and atoms, written as POSCAR:
```
LuBe2Co
1.0
5.9736 0.0000 0.0000
0.0000 5.9736 0.0000
0.0000 0.0000 5.9736
Lu Be Co
4 8 4
direct
0.0000 0.0000 0.0000
0.0000 0.5000 0.5000
0.5000 0.0000 0.5000
0.5000 0.5000 0.0000
0.0000 0.0000 0.5000
0.0000 0.5000 0.0000
0.2500 0.2500 0.2500
0.2500 0.7500 0.7500
0.5000 0.0000 0.0000
0.5000 0.5000 0.5000
0.7500 0.2500 0.7500
0.7500 0.7500 0.2500
0.2500 0.2500 0.7500
0.2500 0.7500 0.2500
0.7500 0.2500 0.2500
0.7500 0.7500 0.7500
```

Summary:
Mass density: 7850 kg/m3
V: 213 Å³ per cell
Symmetry: F-43m (216)
Final energy: -73.92 eV/cell